(1)
{"formula": "CaMnCl6", "functional": "PBE", "state": "relaxed", "crystal_system": "monoclinic", "space_group": "C2/m", "raw_formation_energy_ev_per_atom": -1.352, "volume_a3_per_atom": 29.0, "polymorph_energy_mev_per_atom": 0, "cell": [[-2.7163, 2.6496, -6.5825], [0.8232, -2.4900, -5.7892], [-4.5779, -4.5699, -2.1740]], "species": ["Ca", "Mn", "Cl", "Cl", "Cl", "Cl", "Cl", "Cl"], "fractional_positions": [[0.5000, 0.0000, 0.0000], [0.0000, 0.0000, 0.0000], [0.2169, 0.8534, 0.2725], [0.2169, 0.1259, 0.7275], [0.7831, 0.8741, 0.2725], [0.7831, 0.1466, 0.7275], [0.2177, 0.5510, 0.0000], [0.7823, 0.4490, 0.0000]]}

---

(2)
{"formula": "Na3AcCe2Se6", "functional": "PBE", "state": "relaxed", "crystal_system": "monoclinic", "dos_at_fermi_per_ev_fu": 11.5, "space_group": "C2/m", "raw_formation_energy_ev_per_atom": -1.650, "volume_a3_per_atom": 29.0, "cell": [[7.5894, -0.0018, -0.0003], [-3.7944, 6.5728, -0.0003], [-1.2667, -2.1932, 6.9767]], "species": ["Na", "Na", "Na", "Ac", "Ce", "Ce", "Se", "Se", "Se", "Se", "Se", "Se"], "fractional_positions": [[0.1666, 0.8334, 0.5000], [0.8334, 0.1666, 0.5000], [0.5000, 0.5000, 0.5000], [0.0000, 0.0000, 0.0000], [0.3333, 0.6667, 0.0000], [0.6667, 0.3333, 0.0000], [0.9207, 0.5766, 0.7624], [0.7360, 0.7360, 0.2400], [0.0793, 0.4234, 0.2376], [0.5766, 0.9207, 0.7624], [0.2640, 0.2640, 0.7600], [0.4234, 0.0793, 0.2376]]}

---

Number 1: final energy -33.07 eV for the cell shown. Number 2: final energy -60.65 eV for the cell shown.